Here is LiGaNiF2 after structural relaxation from Alexandria. Energies are from GGA+U.

Output
- Calculated total energy: -16.548 eV for the cell shown
- Total magnetization: 1.01 μB per formula unit

Cell lengths 3.6455, 3.6455, 4.9592 Å; angles 90.00, 90.00, 90.00 degrees
Atoms (fractional coordinates):
1 Li 0.0000 0.0000 0.0000
2 Ga 0.0000 0.0000 0.5000
3 Ni 0.5000 0.5000 0.5000
4 F 0.0000 0.5000 0.0000
5 F 0.5000 0.0000 0.0000